WAuCl2: relaxed, PBE-GGA.

```
4
Lattice="-2.850 -0.240 -0.621 -0.744 -3.037 4.585 -0.825 3.736 2.341" Properties=species:S:1:pos:R:3 pbc="T T T"
Au -0.784 0.350 3.463
Cl -1.797 -1.639 1.982
Cl 0.000 0.000 0.000
W -1.837 1.748 0.860
```

Calculated values
N(E_F): 0.88 states/eV/atom
Space-group type: Pmmm (47)
E_form (uncorrected): 838 meV/atom